[1]
Density functional theory data (PBE) for a relaxed Tb3ZnSn3 crystal.

The structure in CIF format:
```
data_Tb3ZnSn3
_chemical_formula_sum 'Tb6 Zn2 Sn6'
_cell_length_a 9.077
_cell_length_b 9.077
_cell_length_c 6.195
_cell_angle_alpha 90.00
_cell_angle_beta 90.00
_cell_angle_gamma 120.00
_space_group_name_H-M_alt 'P 1'
_space_group_IT_number 1
loop_
_space_group_symop_operation_xyz
'x,y,z'
loop_
_atom_site_label
_atom_site_type_symbol
_atom_site_fract_x
_atom_site_fract_y
_atom_site_fract_z
_atom_site_occupancy
Tb1 Tb 0.050 0.685 0.250 1
Tb2 Tb 0.315 0.365 0.250 1
Tb3 Tb 0.365 0.050 0.750 1
Tb4 Tb 0.635 0.950 0.250 1
Tb5 Tb 0.685 0.635 0.750 1
Tb6 Tb 0.950 0.315 0.750 1
Zn1 Zn 0.333 0.667 0.750 1
Zn2 Zn 0.667 0.333 0.250 1
Sn1 Sn 0.048 0.695 0.750 1
Sn2 Sn 0.305 0.353 0.750 1
Sn3 Sn 0.353 0.048 0.250 1
Sn4 Sn 0.647 0.952 0.750 1
Sn5 Sn 0.695 0.647 0.250 1
Sn6 Sn 0.952 0.305 0.250 1
```

Summary:
N(E_F)	6.93	states/eV/cell
space-group type	P6_3/m (176)
DFT total energy	-59.40	eV per cell
ΔE_f	-35	kJ per mole of atoms

***

[2]
Density functional theory data (PBE) for a relaxed TbZnSn2 crystal.

The structure in CIF format:
```
data_TbZnSn2
_chemical_formula_sum 'Tb1 Zn1 Sn2'
_cell_length_a 5.804
_cell_length_b 5.804
_cell_length_c 5.804
_cell_angle_alpha 48.06
_cell_angle_beta 48.06
_cell_angle_gamma 48.06
_space_group_name_H-M_alt 'P 1'
_space_group_IT_number 1
loop_
_space_group_symop_operation_xyz
'x,y,z'
loop_
_atom_site_label
_atom_site_type_symbol
_atom_site_fract_x
_atom_site_fract_y
_atom_site_fract_z
_atom_site_occupancy
Tb1 Tb 0.000 0.000 0.000 1
Zn1 Zn 0.500 0.500 0.500 1
Sn1 Sn 0.226 0.226 0.226 1
Sn2 Sn 0.774 0.774 0.774 1
```

Summary:
N(E_F)	2.11	states/eV/cell
space-group type	R-3m (166)
DFT total energy	-14.77	eV per cell
ΔE_f	-21	kJ per mole of atoms

***

[3]
Density functional theory data (PBE) for a relaxed TbZnSn2 crystal.

The structure in CIF format:
```
data_TbZnSn2
_chemical_formula_sum 'Tb1 Zn1 Sn2'
_cell_length_a 4.621
_cell_length_b 4.621
_cell_length_c 4.417
_cell_angle_alpha 90.00
_cell_angle_beta 90.00
_cell_angle_gamma 90.00
_space_group_name_H-M_alt 'P 1'
_space_group_IT_number 1
loop_
_space_group_symop_operation_xyz
'x,y,z'
loop_
_atom_site_label
_atom_site_type_symbol
_atom_site_fract_x
_atom_site_fract_y
_atom_site_fract_z
_atom_site_occupancy
Tb1 Tb 0.000 0.000 0.000 1
Zn1 Zn 0.500 0.500 0.000 1
Sn1 Sn 0.000 0.500 0.500 1
Sn2 Sn 0.500 0.000 0.500 1
```

Summary:
N(E_F)	2.16	states/eV/cell
space-group type	P4/mmm (123)
DFT total energy	-15.61	eV per cell
ΔE_f	-41	kJ per mole of atoms